Compound: BaTl3Pb
Source: Alexandria
Functional: PBE
Structure: relaxed

CIF file:
```
data_BaTl3Pb
_cell_length_a 6.9522
_cell_length_b 7.2118
_cell_length_c 7.1917
_cell_angle_alpha 90.00
_cell_angle_beta 90.00
_cell_angle_gamma 90.00
_space_group_name_H-M_alt 'P m n 21'
_space_group_IT_number 31
_space_group_name_Hall 'P 2ac -2'
loop_
_atom_site_label
_atom_site_type_symbol
_atom_site_fract_x
_atom_site_fract_y
_atom_site_fract_z
Ba1 Ba 0.0000 0.2451 0.0000
Tl1 Tl 0.0000 0.9034 0.3540
Tl2 Tl 0.2504 0.2507 0.5045
Pb1 Pb 0.0000 0.6025 0.6520
```

Values from the calculation:
DFT formation energy = -0.212 eV per atom
V = 36.06 Å³/atom
ΔE to the lowest computed polymorph = 0 meV per atom